(1)
{
  "formula": "CrSbRuI2",
  "functional": "PBE-GGA",
  "state": "optimized geometry",
  "lattice_angstrom": [[5.565, 0.000, 0.000], [0.000, 5.565, 0.000], [0.000, 0.000, 4.971]],
  "species": ["Cr", "Sb", "Ru", "I", "I"],
  "fractional_positions": [[0.000, 0.000, 0.000], [0.500, 0.500, 0.000], [0.500, 0.500, 0.500], [0.000, 0.500, 0.500], [0.500, 0.000, 0.500]],
  "sg": "P4/mmm, No. 123",
  "e_above_lowest_polymorph_ev_per_atom": 0.000,
  "dos_ef_per_ev_atom": 0.697,
  "raw_formation_energy_mev_per_atom": 746
}

(2)
{
  "formula": "CrSbRuI2",
  "functional": "PBE-GGA",
  "state": "optimized geometry",
  "lattice_angstrom": [[5.302, 0.000, 0.000], [0.000, 5.302, 0.000], [0.000, 0.000, 5.180]],
  "species": ["Cr", "Sb", "Ru", "I", "I"],
  "fractional_positions": [[0.000, 0.000, 0.000], [0.000, 0.000, 0.500], [0.500, 0.500, 0.500], [0.000, 0.500, 0.000], [0.500, 0.000, 0.000]],
  "sg": "P4/mmm, No. 123",
  "e_above_lowest_polymorph_ev_per_atom": 0.504,
  "dos_ef_per_ev_atom": 1.948,
  "raw_formation_energy_mev_per_atom": 1250
}

(3)
{
  "formula": "ScCrRu2I",
  "functional": "PBE-GGA",
  "state": "optimized geometry",
  "lattice_angstrom": [[4.815, 0.000, 0.000], [0.000, 4.815, 0.000], [0.000, 0.000, 4.700]],
  "species": ["Sc", "Cr", "Ru", "Ru", "I"],
  "fractional_positions": [[0.000, 0.000, 0.000], [0.500, 0.500, 0.000], [0.000, 0.500, 0.500], [0.500, 0.000, 0.500], [0.500, 0.500, 0.500]],
  "sg": "P4/mmm, No. 123",
  "dos_ef_per_ev_atom": 0.863,
  "raw_formation_energy_mev_per_atom": 1243
}

(4)
{
  "formula": "ScCrRuI2",
  "functional": "PBE-GGA",
  "state": "optimized geometry",
  "lattice_angstrom": [[5.195, 0.000, 0.000], [0.000, 5.195, 0.000], [0.000, 0.000, 4.829]],
  "species": ["Sc", "Cr", "Ru", "I", "I"],
  "fractional_positions": [[0.000, 0.000, 0.000], [0.000, 0.000, 0.500], [0.500, 0.500, 0.000], [0.000, 0.500, 0.500], [0.500, 0.000, 0.500]],
  "sg": "P4/mmm, No. 123",
  "dos_ef_per_ev_atom": 1.271,
  "raw_formation_energy_mev_per_atom": 1134
}